1.
Here is an optimized crystal structure of CsNpTe3Pb from the Alexandria database. Energies are from GGA-PBE.

Results
crystal system = monoclinic
spin magnetization = 3.89 μB/f.u.
E_form (uncorrected) = -15.9 kcal/mol of atoms
theoretical density = 6.1 g/cm³

Cell lengths 9.915, 4.620, 12.131 Å; angles 90.00, 109.26, 90.00 degrees
Space group P2_1/m (No. 11)
Inequivalent atoms, fractional coordinates:
1 Cs 0.220 0.250 0.261 [2 per cell]
2 Np 0.360 0.750 0.845 [2 per cell]
3 Te 0.130 0.250 0.810 [2 per cell]
4 Te 0.346 0.750 0.582 [2 per cell]
5 Te 0.416 0.750 0.112 [2 per cell]
6 Pb 0.140 0.250 0.566 [2 per cell]


2.
Here is an optimized crystal structure of Cs2NpPdS4 from the Alexandria database. Energies are from GGA-PBE.

Results
crystal system = orthorhombic
spin magnetization = 2.89 μB/f.u.
E_form (uncorrected) = -19.7 kcal/mol of atoms
theoretical density = 4.0 g/cm³

Cell lengths 6.383, 15.168, 25.122 Å; angles 90.00, 90.00, 90.00 degrees
Space group Fddd (No. 70, origin choice 2)
Inequivalent atoms, fractional coordinates:
1 Cs 0.125 0.125 0.305 [16 per cell]
2 Np 0.125 0.125 0.125 [8 per cell]
3 Pd 0.125 0.125 0.625 [8 per cell]
4 S 0.111 0.271 0.835 [32 per cell]


3.
Here is an optimized crystal structure of Cs2NpPd2S4 from the Alexandria database. Energies are from GGA-PBE.

Results
crystal system = monoclinic
spin magnetization = 2.05 μB/f.u.
E_form (uncorrected) = -22.5 kcal/mol of atoms
theoretical density = 6.0 g/cm³

Cell lengths 14.843, 4.068, 8.132 Å; angles 90.00, 107.97, 90.00 degrees
Space group C2/m (No. 12)
Inequivalent atoms, fractional coordinates:
1 Cs 0.138 0.000 0.070 [4 per cell]
2 Np 0.000 0.000 0.500 [2 per cell]
3 Pd 0.184 0.500 0.498 [4 per cell]
4 S 0.016 0.500 0.290 [4 per cell]
5 S 0.185 0.000 0.657 [4 per cell]


4.
Here is an optimized crystal structure of CsNp2PdSe4 from the Alexandria database. Energies are from GGA-PBE.

Results
crystal system = orthorhombic
spin magnetization = 7.00 μB/f.u.
E_form (uncorrected) = -24.4 kcal/mol of atoms
theoretical density = 7.6 g/cm³

Cell lengths 4.224, 14.585, 14.539 Å; angles 90.00, 90.00, 90.00 degrees
Space group Cmcm (No. 63)
Inequivalent atoms, fractional coordinates:
1 Cs 0.000 0.111 0.250 [4 per cell]
2 Np 0.000 0.368 0.065 [8 per cell]
3 Pd 0.000 0.166 0.750 [4 per cell]
4 Se 0.000 0.000 0.000 [4 per cell]
5 Se 0.000 0.259 0.601 [8 per cell]
6 Se 0.000 0.428 0.250 [4 per cell]


5.
Here is an optimized crystal structure of Cs2NpPd2Se4 from the Alexandria database. Energies are from GGA-PBE.

Results
crystal system = monoclinic
spin magnetization = 2.23 μB/f.u.
E_form (uncorrected) = -21.0 kcal/mol of atoms
theoretical density = 6.6 g/cm³

Cell lengths 15.329, 4.225, 8.454 Å; angles 90.00, 107.80, 90.00 degrees
Space group C2/m (No. 12)
Inequivalent atoms, fractional coordinates:
1 Cs 0.137 0.000 0.073 [4 per cell]
2 Np 0.000 0.000 0.500 [2 per cell]
3 Pd 0.184 0.500 0.494 [4 per cell]
4 Se 0.015 0.500 0.284 [4 per cell]
5 Se 0.189 0.000 0.662 [4 per cell]


6.
Here is an optimized crystal structure of Cs2NpPdSe4 from the Alexandria database. Energies are from GGA-PBE.

Results
crystal system = orthorhombic
spin magnetization = 2.98 μB/f.u.
E_form (uncorrected) = -18.3 kcal/mol of atoms
theoretical density = 4.7 g/cm³

Cell lengths 6.570, 15.659, 25.677 Å; angles 90.00, 90.00, 90.00 degrees
Space group Fddd (No. 70, origin choice 2)
Inequivalent atoms, fractional coordinates:
1 Cs 0.125 0.125 0.304 [16 per cell]
2 Np 0.125 0.125 0.125 [8 per cell]
3 Pd 0.125 0.125 0.625 [8 per cell]
4 Se 0.107 0.268 0.832 [32 per cell]


7.
Here is an optimized crystal structure of Cs2Np2PdSe6 from the Alexandria database. Energies are from GGA-PBE.

Results
crystal system = monoclinic
spin magnetization = 6.00 μB/f.u.
E_form (uncorrected) = -22.8 kcal/mol of atoms
theoretical density = 6.0 g/cm³

Cell lengths 7.593, 11.371, 8.701 Å; angles 90.00, 104.87, 90.00 degrees
Space group C2/m (No. 12)
Inequivalent atoms, fractional coordinates:
1 Cs 0.000 0.186 0.000 [4 per cell]
2 Np 0.000 0.332 0.500 [4 per cell]
3 Pd 0.000 0.000 0.500 [2 per cell]
4 Se 0.162 0.500 0.726 [4 per cell]
5 Se 0.213 0.152 0.668 [8 per cell]


8.
Here is an optimized crystal structure of Cs4Np3PdSe8 from the Alexandria database. Energies are from GGA-PBE.

Results
crystal system = monoclinic
spin magnetization = 9.03 μB/f.u.
E_form (uncorrected) = -24.2 kcal/mol of atoms
theoretical density = 6.3 g/cm³

Cell lengths 14.677, 8.472, 9.682 Å; angles 90.00, 120.40, 90.00 degrees
Space group C2/m (No. 12)
Inequivalent atoms, fractional coordinates:
1 Cs 0.000 0.000 0.000 [2 per cell]
2 Cs 0.000 0.500 0.000 [2 per cell]
3 Cs 0.250 0.250 0.000 [4 per cell]
4 Np 0.000 0.000 0.500 [2 per cell]
5 Np 0.250 0.250 0.500 [4 per cell]
6 Pd 0.000 0.500 0.500 [2 per cell]
7 Se 0.024 0.248 0.319 [8 per cell]
8 Se 0.227 0.500 0.680 [4 per cell]
9 Se 0.229 0.000 0.688 [4 per cell]


9.
Here is an optimized crystal structure of CsNp2Te4Pd from the Alexandria database. Energies are from GGA-PBE.

Results
crystal system = orthorhombic
spin magnetization = 7.11 μB/f.u.
E_form (uncorrected) = -16.5 kcal/mol of atoms
theoretical density = 7.5 g/cm³

Cell lengths 4.452, 15.693, 15.505 Å; angles 90.00, 90.00, 90.00 degrees
Space group Cmcm (No. 63)
Inequivalent atoms, fractional coordinates:
1 Cs 0.000 0.112 0.250 [4 per cell]
2 Np 0.000 0.368 0.065 [8 per cell]
3 Te 0.000 0.000 0.000 [4 per cell]
4 Te 0.000 0.262 0.605 [8 per cell]
5 Te 0.000 0.430 0.250 [4 per cell]
6 Pd 0.000 0.165 0.750 [4 per cell]


10.
Here is an optimized crystal structure of CsPmNpS4 from the Alexandria database. Energies are from GGA-PBE.

Results
crystal system = orthorhombic
spin magnetization = 3.00 μB/f.u.
E_form (uncorrected) = -34.6 kcal/mol of atoms
theoretical density = 4.7 g/cm³

Cell lengths 8.503, 8.871, 12.161 Å; angles 90.00, 90.00, 90.00 degrees
Space group Imma (No. 74)
Inequivalent atoms, fractional coordinates:
1 Cs 0.000 0.250 0.134 [4 per cell]
2 Pm 0.000 0.000 0.500 [4 per cell]
3 Np 0.250 0.250 0.750 [4 per cell]
4 S 0.000 0.059 0.732 [8 per cell]
5 S 0.209 0.250 0.529 [8 per cell]


11.
Here is an optimized crystal structure of Cs2PmNp2S6 from the Alexandria database. Energies are from GGA-PBE.

Results
crystal system = monoclinic
spin magnetization = 7.00 μB/f.u.
E_form (uncorrected) = -35.8 kcal/mol of atoms
theoretical density = 5.0 g/cm³

Cell lengths 7.071, 12.296, 8.551 Å; angles 90.00, 105.63, 90.00 degrees
Space group C2/m (No. 12)
Inequivalent atoms, fractional coordinates:
1 Cs 0.000 0.165 0.000 [4 per cell]
2 Pm 0.000 0.000 0.500 [2 per cell]
3 Np 0.000 0.334 0.500 [4 per cell]
4 S 0.214 0.500 0.677 [4 per cell]
5 S 0.228 0.173 0.676 [8 per cell]


12.
Here is an optimized crystal structure of Cs4Pm3NpS8 from the Alexandria database. Energies are from GGA-PBE.

Results
crystal system = trigonal
spin magnetization = 4.01 μB/f.u.
E_form (uncorrected) = -39.0 kcal/mol of atoms
theoretical density = 4.9 g/cm³

Cell lengths 8.4268, 8.4268, 24.2299 Å; angles 90.00, 90.00, 120.00 degrees
Space group R-3m (No. 166, hexagonal axes)
Inequivalent atoms, fractional coordinates:
1 Cs 0.0000 0.0000 0.0000 [3 per cell]
2 Cs 0.0000 0.5000 0.0000 [9 per cell]
3 Pm 0.0000 0.5000 0.5000 [9 per cell]
4 Np 0.0000 0.0000 0.5000 [3 per cell]
5 S 0.0000 0.0000 0.2288 [6 per cell]
6 S 0.0031 0.5015 0.2279 [18 per cell]


13.
Here is an optimized crystal structure of Cs3Pm3NpS8 from the Alexandria database. Energies are from GGA-PBE.

Results
crystal system = trigonal
spin magnetization = 3.00 μB/f.u.
E_form (uncorrected) = -39.8 kcal/mol of atoms
theoretical density = 4.5 g/cm³

Cell lengths 8.3167, 8.3167, 24.6423 Å; angles 90.00, 90.00, 120.00 degrees
Space group R-3m (No. 166, hexagonal axes)
Inequivalent atoms, fractional coordinates:
1 Cs 0.0000 0.5000 0.0000 [9 per cell]
2 Pm 0.0000 0.5000 0.5000 [9 per cell]
3 Np 0.0000 0.0000 0.5000 [3 per cell]
4 S 0.0000 0.0000 0.2280 [6 per cell]
5 S 0.0132 0.5066 0.2258 [18 per cell]


14.
Here is an optimized crystal structure of CsPm2NpS5 from the Alexandria database. Energies are from GGA-PBE.

Results
crystal system = orthorhombic
spin magnetization = 3.98 μB/f.u.
E_form (uncorrected) = -38.6 kcal/mol of atoms
theoretical density = 5.3 g/cm³

Cell lengths 5.058, 7.302, 13.928 Å; angles 90.00, 90.00, 90.00 degrees
Space group Immm (No. 71)
Inequivalent atoms, fractional coordinates:
1 Cs 0.000 0.000 0.000 [2 per cell]
2 Pm 0.000 0.500 0.207 [4 per cell]
3 Np 0.000 0.000 0.500 [2 per cell]
4 S 0.000 0.230 0.345 [8 per cell]
5 S 0.000 0.500 0.000 [2 per cell]


15.
Here is an optimized crystal structure of Cs2PmNpS4 from the Alexandria database. Energies are from GGA-PBE.

Results
crystal system = monoclinic
spin magnetization = 4.00 μB/f.u.
E_form (uncorrected) = -36.2 kcal/mol of atoms
theoretical density = 5.2 g/cm³

Cell lengths 7.269, 4.191, 8.429 Å; angles 90.00, 106.73, 90.00 degrees
Space group P2/m (No. 10)
Inequivalent atoms, fractional coordinates:
1 Cs 0.000 0.000 0.000 [1 per cell]
2 Cs 0.500 0.500 0.000 [1 per cell]
3 Pm 0.000 0.500 0.500 [1 per cell]
4 Np 0.500 0.000 0.500 [1 per cell]
5 S 0.231 0.000 0.685 [2 per cell]
6 S 0.278 0.500 0.319 [2 per cell]


16.
Here is an optimized crystal structure of Cs3PmNp2Se6 from the Alexandria database. Energies are from GGA-PBE.

Results
crystal system = monoclinic
spin magnetization = 8.00 μB/f.u.
E_form (uncorrected) = -32.0 kcal/mol of atoms
theoretical density = 6.0 g/cm³

Cell lengths 7.527, 13.039, 8.748 Å; angles 90.00, 106.66, 90.00 degrees
Space group C2/m (No. 12)
Inequivalent atoms, fractional coordinates:
1 Cs 0.000 0.000 0.000 [2 per cell]
2 Cs 0.000 0.335 0.000 [4 per cell]
3 Pm 0.000 0.500 0.500 [2 per cell]
4 Np 0.000 0.167 0.500 [4 per cell]
5 Se 0.225 0.000 0.686 [4 per cell]
6 Se 0.231 0.331 0.687 [8 per cell]


17.
Here is an optimized crystal structure of Cs4PmNp3Se8 from the Alexandria database. Energies are from GGA-PBE.

Results
crystal system = trigonal
spin magnetization = 12.00 μB/f.u.
E_form (uncorrected) = -31.1 kcal/mol of atoms
theoretical density = 6.1 g/cm³

Cell lengths 8.6905, 8.6905, 25.1071 Å; angles 90.00, 90.00, 120.00 degrees
Space group R-3m (No. 166, hexagonal axes)
Inequivalent atoms, fractional coordinates:
1 Cs 0.0000 0.0000 0.0000 [3 per cell]
2 Cs 0.0000 0.5000 0.0000 [9 per cell]
3 Pm 0.0000 0.0000 0.5000 [3 per cell]
4 Np 0.0000 0.5000 0.5000 [9 per cell]
5 Se 0.0000 0.0000 0.2276 [6 per cell]
6 Se 0.0029 0.5014 0.7709 [18 per cell]


18.
Here is an optimized crystal structure of Cs4Pm3NpSe8 from the Alexandria database. Energies are from GGA-PBE.

Results
crystal system = trigonal
spin magnetization = 4.00 μB/f.u.
E_form (uncorrected) = -36.9 kcal/mol of atoms
theoretical density = 5.5 g/cm³

Cell lengths 8.7486, 8.7486, 25.1550 Å; angles 90.00, 90.00, 120.00 degrees
Space group R-3m (No. 166, hexagonal axes)
Inequivalent atoms, fractional coordinates:
1 Cs 0.0000 0.0000 0.0000 [3 per cell]
2 Cs 0.0000 0.5000 0.0000 [9 per cell]
3 Pm 0.0000 0.5000 0.5000 [9 per cell]
4 Np 0.0000 0.0000 0.5000 [3 per cell]
5 Se 0.0000 0.0000 0.2300 [6 per cell]
6 Se 0.0015 0.5008 0.2293 [18 per cell]


19.
Here is an optimized crystal structure of Cs2PmNpSe4 from the Alexandria database. Energies are from GGA-PBE.

Results
crystal system = monoclinic
spin magnetization = 4.00 μB/f.u.
E_form (uncorrected) = -33.9 kcal/mol of atoms
theoretical density = 5.8 g/cm³

Cell lengths 7.551, 4.366, 8.754 Å; angles 90.00, 106.78, 90.00 degrees
Space group P2/m (No. 10)
Inequivalent atoms, fractional coordinates:
1 Cs 0.000 0.000 0.000 [1 per cell]
2 Cs 0.500 0.500 0.000 [1 per cell]
3 Pm 0.000 0.500 0.500 [1 per cell]
4 Np 0.500 0.000 0.500 [1 per cell]
5 Se 0.232 0.000 0.689 [2 per cell]
6 Se 0.275 0.500 0.314 [2 per cell]


20.
Here is an optimized crystal structure of Cs2Pm2NpSe6 from the Alexandria database. Energies are from GGA-PBE.

Results
crystal system = monoclinic
spin magnetization = 3.00 μB/f.u.
E_form (uncorrected) = -36.2 kcal/mol of atoms
theoretical density = 5.2 g/cm³

Cell lengths 7.419, 12.799, 8.948 Å; angles 90.00, 106.51, 90.00 degrees
Space group C2/m (No. 12)
Inequivalent atoms, fractional coordinates:
1 Cs 0.000 0.170 0.000 [4 per cell]
2 Pm 0.000 0.333 0.500 [4 per cell]
3 Np 0.000 0.000 0.500 [2 per cell]
4 Se 0.224 0.161 0.684 [8 per cell]
5 Se 0.242 0.500 0.683 [4 per cell]